This record from Alexandria via LeMat-Bulk describes a relaxed K2SrSi crystal. The functional is GGA-PBEsol.

Structure (CIF):
```
data_K2SrSi
_symmetry_space_group_name_H-M 'P 4/m m m'
_symmetry_Int_Tables_number 123
_symmetry_space_group_name_Hall '-P 4 2'
_cell_length_a 4.6491
_cell_length_b 4.6491
_cell_length_c 7.2077
_cell_angle_alpha 90.00
_cell_angle_beta 90.00
_cell_angle_gamma 90.00
loop_
_atom_site_label
_atom_site_type_symbol
_atom_site_fract_x
_atom_site_fract_y
_atom_site_fract_z
K1 K 0.0000 0.0000 0.2038
Sr1 Sr 0.5000 0.5000 0.5000
Si1 Si 0.5000 0.5000 0.0000
```

Properties
* magnetic moment: 0.6 μB per formula unit
* formation energy without anion corrections: 0.41 eV per atom